No. 1
Here is a geometry-optimized TbSbTe structure from the Alexandria database. Energies are from GGA-PBE.

Lattice parameters (Å, degrees): 4.280 4.280 9.863 102.53 102.53 90.00
Element x y z (fractional)
Tb 0.361 0.361 0.722
Tb 0.639 0.639 0.278
Te 0.189 0.189 0.378
Te 0.811 0.811 0.622
Sb 0.000 0.500 0.000
Sb 0.500 0.000 0.000

Values from the calculation:
M_tot: 0.0 μB/cell
Energy relative to the elements, uncorrected: -1.079 eV/atom

---

No. 2
Here is a geometry-optimized Rb2TlSnI4 structure from the Alexandria database. Energies are from GGA-PBE.

Lattice parameters (Å, degrees): 7.225 7.225 8.787 114.26 114.26 90.02
Element x y z (fractional)
Tl 0.500 0.500 0.000
Sn 0.750 0.250 0.500
I 0.256 0.256 0.511
I 0.520 0.020 0.039
I 0.744 0.744 0.489
I 0.980 0.480 0.961
Rb 0.000 0.000 0.000
Rb 0.250 0.750 0.500

Values from the calculation:
M_tot: 0.6 μB/cell
Energy relative to the elements, uncorrected: -0.856 eV/atom

---

No. 3
Here is a geometry-optimized Ca3Hg4Pb2 structure from the Alexandria database. Energies are from GGA-PBE.

Lattice parameters (Å, degrees): 8.263 8.263 8.209 78.16 78.16 88.21
Element x y z (fractional)
Ca 0.010 0.308 0.359
Ca 0.308 0.010 0.859
Ca 0.692 0.990 0.141
Ca 0.990 0.692 0.641
Ca 0.397 0.603 0.250
Ca 0.603 0.397 0.750
Hg 0.240 0.396 0.601
Hg 0.760 0.604 0.399
Hg 0.799 0.030 0.642
Hg 0.396 0.240 0.101
Hg 0.970 0.201 0.858
Hg 0.030 0.799 0.142
Hg 0.201 0.970 0.358
Hg 0.604 0.760 0.899
Pb 0.452 0.788 0.565
Pb 0.788 0.452 0.065
Pb 0.212 0.548 0.935
Pb 0.548 0.212 0.435

Values from the calculation:
E_form: -339 meV per atom
M_tot: 0.0 μB/cell

---

No. 4
Here is a geometry-optimized Tm5Sn2Te structure from the Alexandria database. Energies are from GGA-PBE.

Lattice parameters (Å, degrees): 5.917 5.644 16.373 90.00 90.00 121.62
Element x y z (fractional)
Tm 0.076 0.152 0.096
Tm 0.424 0.848 0.404
Tm 0.749 0.497 0.250
Tm 0.924 0.848 0.596
Tm 0.924 0.848 0.904
Tm 0.251 0.503 0.750
Tm 0.576 0.152 0.596
Tm 0.576 0.152 0.904
Tm 0.424 0.848 0.096
Tm 0.076 0.152 0.404
Sn 0.750 0.500 0.433
Sn 0.750 0.500 0.067
Sn 0.250 0.500 0.933
Sn 0.250 0.500 0.567
Te 0.250 0.500 0.250
Te 0.750 0.500 0.750

Values from the calculation:
M_tot: 0.0 μB/cell
Energy relative to the elements, uncorrected: -0.441 eV/atom

---

No. 5
Here is a geometry-optimized Zn2CuRu structure from the Alexandria database. Energies are from GGA-PBE.

Lattice parameters (Å, degrees): 4.536 4.536 4.781 80.47 80.47 34.25
Element x y z (fractional)
Cu 0.750 0.750 0.750
Zn 0.499 0.499 0.502
Zn 0.001 0.001 0.998
Ru 0.250 0.250 0.250

Values from the calculation:
E_form: 42 meV per atom
M_tot: 0.0 μB/cell

---

No. 6
Here is a geometry-optimized TeIrPb4 structure from the Alexandria database. Energies are from GGA-PBE.

Lattice parameters (Å, degrees): 6.288 6.288 6.288 60.00 60.00 60.00
Element x y z (fractional)
Ir 0.000 0.000 0.000
Te 0.750 0.750 0.750
Pb 0.374 0.374 0.878
Pb 0.374 0.374 0.374
Pb 0.374 0.878 0.374
Pb 0.878 0.374 0.374

Values from the calculation:
M_tot: 0.0 μB/cell
Energy relative to the elements, uncorrected: 0.779 eV/atom

---

No. 7
Here is a geometry-optimized PmHo5Sc structure from the Alexandria database. Energies are from GGA-PBE.

Lattice parameters (Å, degrees): 3.550 9.174 13.644 102.67 90.00 90.00
Element x y z (fractional)
Ho 0.250 0.670 0.493
Ho 0.750 0.330 0.507
Ho 0.250 0.419 0.083
Ho 0.250 0.797 0.116
Ho 0.750 0.203 0.884
Ho 0.750 0.993 0.628
Ho 0.250 0.349 0.721
Ho 0.750 0.651 0.279
Ho 0.250 0.007 0.372
Ho 0.750 0.581 0.917
Sc 0.250 0.352 0.308
Sc 0.750 0.648 0.692
Pm 0.250 0.887 0.865
Pm 0.750 0.113 0.135

Values from the calculation:
E_form: 66 meV per atom
M_tot: 0.0 μB/cell

---

No. 8
Here is a geometry-optimized Ac6NdSm5 structure from the Alexandria database. Energies are from GGA-PBE.

Lattice parameters (Å, degrees): 5.483 10.458 10.088 121.22 105.73 90.00
Element x y z (fractional)
Sm 0.333 0.833 0.667
Sm 0.667 0.667 0.334
Sm 0.333 0.333 0.666
Sm 0.000 0.500 0.000
Sm 0.667 0.167 0.333
Nd 0.000 0.000 0.000
Ac 0.500 0.749 0.000
Ac 0.500 0.251 0.000
Ac 0.833 0.084 0.666
Ac 0.167 0.916 0.334
Ac 0.167 0.417 0.334
Ac 0.833 0.583 0.666

Values from the calculation:
E_form: 32 meV per atom
M_tot: 0.0 μB/cell

---

No. 9
Here is a geometry-optimized Cs2RbTlF4 structure from the Alexandria database. Energies are from GGA-PBE.

Lattice parameters (Å, degrees): 4.175 7.232 7.222 70.61 90.00 90.00
Element x y z (fractional)
F 0.000 0.734 0.756
F 0.500 0.734 0.254
F 0.500 0.266 0.746
F 0.000 0.266 0.244
Cs 0.500 0.000 0.500
Cs 0.000 0.000 0.000
Tl 0.500 0.500 0.000
Rb 0.000 0.500 0.500

Values from the calculation:
M_tot: 0.0 μB/cell
Energy relative to the elements, uncorrected: -2.418 eV/atom

---

No. 10
Here is a geometry-optimized LiPuH8Pd2 structure from the Alexandria database. Energies are from GGA-PBE.

Lattice parameters (Å, degrees): 4.693 4.693 6.136 67.51 67.51 60.00
Element x y z (fractional)
H 0.334 0.885 0.161
H 0.666 0.115 0.839
H 0.810 0.810 0.571
H 0.885 0.620 0.161
H 0.190 0.190 0.429
H 0.620 0.334 0.161
H 0.380 0.666 0.839
H 0.115 0.380 0.839
Pd 0.703 0.703 0.892
Pd 0.297 0.297 0.108
Li 0.000 0.000 0.000
Pu 0.500 0.500 0.500

Values from the calculation:
M_tot: 6.1 μB/cell
DFT total energy: -54.54 eV/cell

---

No. 11
Here is a geometry-optimized CdW2Se structure from the Alexandria database. Energies are from GGA-PBE.

Lattice parameters (Å, degrees): 5.512 5.512 5.512 138.48 138.48 60.17
Element x y z (fractional)
W 0.500 0.500 0.000
W 0.000 0.000 0.000
Cd 0.250 0.750 0.500
Se 0.750 0.250 0.500

Values from the calculation:
M_tot: 0.0 μB/cell
Energy relative to the elements, uncorrected: 0.999 eV/atom

---

No. 12
Here is a geometry-optimized CsTiBe2Cl8 structure from the Alexandria database. Energies are from GGA-PBE.

Lattice parameters (Å, degrees): 6.076 6.076 10.832 73.71 73.71 60.00
Element x y z (fractional)
Cl 0.201 0.201 0.397
Cl 0.974 0.617 0.140
Cl 0.026 0.383 0.860
Cl 0.268 0.974 0.140
Cl 0.732 0.026 0.860
Cl 0.383 0.732 0.860
Cl 0.799 0.799 0.603
Cl 0.617 0.268 0.140
Ti 0.000 0.000 0.000
Be 0.265 0.265 0.205
Be 0.735 0.735 0.795
Cs 0.500 0.500 0.500

Values from the calculation:
M_tot: 1.0 μB/cell
Energy relative to the elements, uncorrected: -1.550 eV/atom

---

No. 13
Here is a geometry-optimized Ge2AsClF structure from the Alexandria database. Energies are from GGA-PBE.

Lattice parameters (Å, degrees): 5.031 4.224 5.031 90.00 90.00 90.00
Element x y z (fractional)
Ge 0.500 0.000 0.000
Ge 0.000 0.000 0.500
As 0.500 0.500 0.500
Cl 0.000 0.000 0.000
F 0.000 0.500 0.000

Values from the calculation:
M_tot: 0.0 μB/cell
Energy relative to the elements, uncorrected: 0.238 eV/atom

---

No. 14
Here is a geometry-optimized KPu2Se4 structure from the Alexandria database. Energies are from GGA-PBE.

Lattice parameters (Å, degrees): 4.194 7.224 14.251 90.00 90.00 106.87
Element x y z (fractional)
Pu 0.865 0.731 0.565
Pu 0.865 0.731 0.935
Pu 0.135 0.269 0.065
Pu 0.135 0.269 0.435
K 0.394 0.787 0.250
K 0.606 0.213 0.750
Se 0.923 0.845 0.750
Se 0.764 0.528 0.391
Se 0.077 0.155 0.250
Se 0.236 0.472 0.891
Se 0.500 0.000 0.500
Se 0.236 0.472 0.609
Se 0.500 0.000 0.000
Se 0.764 0.528 0.109

Values from the calculation:
M_tot: 18.0 μB/cell
Energy relative to the elements, uncorrected: -1.363 eV/atom

---

No. 15
Here is a geometry-optimized Ac6Ir2AuI2 structure from the Alexandria database. Energies are from GGA-PBE.

Lattice parameters (Å, degrees): 7.750 7.750 8.821 98.10 98.10 119.63
Element x y z (fractional)
Au 0.000 0.000 0.500
I 0.163 0.837 0.000
I 0.837 0.163 0.000
Ac 0.588 0.936 0.311
Ac 0.936 0.588 0.311
Ac 0.293 0.293 0.313
Ac 0.064 0.412 0.689
Ac 0.707 0.707 0.687
Ac 0.412 0.064 0.689
Ir 0.669 0.331 0.500
Ir 0.331 0.669 0.500

Values from the calculation:
M_tot: 0.0 μB/cell
Energy relative to the elements, uncorrected: -0.875 eV/atom

---

No. 16
Here is a geometry-optimized PmSm3Tl2 structure from the Alexandria database. Energies are from GGA-PBE.

Lattice parameters (Å, degrees): 5.227 6.880 10.243 90.00 90.00 90.00
Element x y z (fractional)
Tl 0.000 0.791 0.364
Tl 0.000 0.291 0.636
Tl 0.500 0.209 0.136
Tl 0.500 0.709 0.864
Sm 0.000 0.454 0.958
Sm 0.500 0.679 0.184
Sm 0.000 0.820 0.685
Sm 0.500 0.179 0.816
Sm 0.000 0.320 0.315
Sm 0.000 0.954 0.042
Pm 0.500 0.047 0.458
Pm 0.500 0.547 0.542

Values from the calculation:
E_form: -273 meV per atom
M_tot: 0.0 μB/cell

---

No. 17
Here is a geometry-optimized Hf2GaCu structure from the Alexandria database. Energies are from GGA-PBE.

Lattice parameters (Å, degrees): 7.293 7.293 5.906 51.87 51.87 90.00
Element x y z (fractional)
Ga 0.750 0.250 0.500
Ga 0.000 0.000 0.000
Hf 0.875 0.856 0.750
Hf 0.375 0.394 0.750
Hf 0.606 0.125 0.250
Hf 0.144 0.625 0.250
Cu 0.500 0.500 0.000
Cu 0.250 0.750 0.500

Values from the calculation:
E_form: 125 meV per atom
M_tot: 0.0 μB/cell

---

No. 18
Here is a geometry-optimized SiHRh4 structure from the Alexandria database. Energies are from GGA-PBE.

Lattice parameters (Å, degrees): 3.925 3.962 5.222 67.70 89.99 90.00
Element x y z (fractional)
Rh 0.502 0.829 0.251
Rh 0.002 0.624 0.662
Rh 0.002 0.327 0.256
Rh 0.501 0.114 0.681
Si 0.502 0.472 0.966
H 0.000 0.118 0.672

Values from the calculation:
M_tot: 0.0 μB/cell
DFT total energy: -39.79 eV/cell

---

No. 19
Here is a geometry-optimized CsTiPtO4 structure from the Alexandria database. Energies are from GGA-PBE.

Lattice parameters (Å, degrees): 5.699 7.710 5.978 112.81 90.00 111.69
Element x y z (fractional)
Pt 0.000 0.500 0.500
Pt 0.500 0.500 0.500
Cs 0.155 0.309 0.905
Cs 0.845 0.691 0.095
O 0.715 0.005 0.253
O 0.285 0.995 0.747
O 0.319 0.638 0.771
O 0.319 0.638 0.367
O 0.710 0.995 0.747
O 0.681 0.362 0.633
O 0.681 0.362 0.229
O 0.290 0.005 0.253
Ti 0.500 0.000 0.000
Ti 0.500 0.000 0.500

Values from the calculation:
M_tot: 0.6 μB/cell
Energy relative to the elements, uncorrected: -1.495 eV/atom

---

No. 20
Here is a geometry-optimized KPdAuO4 structure from the Alexandria database. Energies are from GGA-PBE.

Lattice parameters (Å, degrees): 6.425 7.002 6.293 116.71 90.00 117.31
Element x y z (fractional)
O 0.706 0.020 0.760
O 0.692 0.384 0.241
O 0.692 0.384 0.643
O 0.308 0.616 0.759
O 0.686 0.980 0.240
O 0.314 0.020 0.760
O 0.294 0.980 0.240
O 0.308 0.616 0.357
Pd 0.500 0.000 0.000
Pd 0.500 0.000 0.500
K 0.852 0.704 0.102
K 0.148 0.296 0.898
Au 0.000 0.500 0.500
Au 0.500 0.500 0.500

Values from the calculation:
M_tot: 1.1 μB/cell
Energy relative to the elements, uncorrected: -0.478 eV/atom

---

No. 21
Here is a geometry-optimized NaAcCrH6 structure from the Alexandria database. Energies are from GGA-PBE.

Lattice parameters (Å, degrees): 4.943 4.943 4.707 90.00 90.00 60.00
Element x y z (fractional)
Na 0.667 0.667 0.500
H 0.473 0.474 0.237
H 0.474 0.053 0.237
H 0.053 0.473 0.237
H 0.473 0.053 0.763
H 0.474 0.473 0.763
H 0.053 0.474 0.763
Cr 0.333 0.333 0.500
Ac 0.000 0.000 0.000

Values from the calculation:
M_tot: 2.6 μB/cell
DFT total energy: -36.73 eV/cell

---

No. 22
Here is a geometry-optimized PuHfMoPd structure from the Alexandria database. Energies are from GGA-PBE.

Lattice parameters (Å, degrees): 4.766 4.766 4.766 60.00 60.00 60.00
Element x y z (fractional)
Hf 0.250 0.250 0.250
Mo 0.500 0.500 0.500
Pu 0.750 0.750 0.750
Pd 0.000 0.000 0.000

Values from the calculation:
E_form: -149 meV per atom
M_tot: 4.3 μB/cell